The following is a PBEsol calculation of SrCu2GeS4 after structural relaxation, from Alexandria.

Unit cell a=5.9971 b=5.9971 c=5.9971 alpha=94.21 beta=117.60 gamma=117.60
Fractional positions:
S: 0.4047 0.5396 0.5396
S: 0.0000 0.8651 0.4604
Cu: 0.5000 0.2500 0.7500
S: 0.5953 0.1349 0.1349
Ge: 0.0000 0.5000 0.5000
Sr: 0.0000 0.0000 0.0000
S: 0.0000 0.4604 0.8651
Cu: 0.5000 0.7500 0.2500

Output
The spin magnetization is 0.000 μB per cell. As for the raw formation energy: -6.23 eV per formula unit.



The following is a PBEsol calculation of Ba2NiP2O8 after structural relaxation, from Alexandria.

Unit cell a=5.3002 b=8.8146 c=15.9931 alpha=90.00 beta=90.92 gamma=90.00
Each line ends with the local moment (μB).
Fractional positions:
O: 0.8530 0.4686 0.7457  0.06
P: 0.7459 0.3859 0.6667  0.01
O: 0.9911 0.6951 0.1006  0.06
O: 0.5089 0.1951 0.3994  0.06
O: 0.8580 0.2215 0.6669  0.05
Ba: 0.6938 0.2048 0.0188  0.00
Ba: 0.2582 0.6518 0.7303  0.00
O: 0.7097 0.5864 0.9848  0.05
O: 0.9537 0.1156 0.1664  0.00
Ba: 0.2418 0.1518 0.7697  0.00
O: 0.1420 0.7785 0.3331  0.05
O: 0.3442 0.0289 0.0886  0.01
Ni: 0.2740 0.9906 0.3670  1.59
O: 0.3530 0.0314 0.2457  0.06
O: 0.5463 0.6156 0.3336  0.00
O: 0.6422 0.9278 0.3876  0.06
O: 0.2097 0.9136 0.4848  0.05
O: 0.7903 0.0864 0.5152  0.05
O: 0.1422 0.5722 0.8876  0.06
O: 0.6420 0.7215 0.8331  0.05
O: 0.9678 0.1352 0.3725  0.06
P: 0.2459 0.1141 0.1667  0.01
Ba: 0.1938 0.2952 0.5188  0.00
O: 0.0463 0.8844 0.8336  0.00
O: 0.5322 0.6352 0.1275  0.06
Ni: 0.7260 0.0094 0.6330  1.59
P: 0.7541 0.8859 0.8333  0.01
O: 0.8578 0.4278 0.1124  0.06
O: 0.6470 0.9686 0.7543  0.06
O: 0.3580 0.2785 0.1669  0.05
O: 0.4537 0.3844 0.6664  0.00
O: 0.1470 0.5314 0.2543  0.06
P: 0.7704 0.5852 0.0786  0.01
Ba: 0.7418 0.3482 0.2697  0.00
Ba: 0.8062 0.7048 0.4812  0.00
O: 0.4911 0.8049 0.6006  0.06
O: 0.6558 0.9711 0.9114  0.01
P: 0.2704 0.9148 0.5786  0.01
P: 0.7296 0.0852 0.4214  0.01
Ni: 0.7740 0.5094 0.8670  1.59
O: 0.4678 0.3648 0.8725  0.06
O: 0.3578 0.0722 0.6124  0.06
Ni: 0.2260 0.4906 0.1330  1.59
Ba: 0.7582 0.8482 0.2303  0.00
O: 0.0089 0.3049 0.8994  0.06
P: 0.2296 0.4148 0.9214  0.01
O: 0.1558 0.5289 0.4114  0.01
P: 0.2541 0.6141 0.3333  0.01
O: 0.8442 0.4711 0.5886  0.01
Ba: 0.3062 0.7952 0.9812  0.00
O: 0.2903 0.4136 0.0152  0.05
O: 0.0322 0.8648 0.6275  0.06

Output
The spin magnetization is 8.019 μB per cell. As for the raw formation energy: -31.62 eV per formula unit.